Record 1
# Ho4CoHg

Crystalline Ho4CoHg at its relaxed geometry (GGA-PBE, the Alexandria database).

Geometry as CIF:
```
data_Ho4CoHg
_symmetry_space_group_name_H-M 'F -4 3 m'
_symmetry_Int_Tables_number 216
_symmetry_space_group_name_Hall 'F -4 2 3'
_cell_length_a 13.308
_cell_length_b 13.308
_cell_length_c 13.308
_cell_angle_alpha 90.00
_cell_angle_beta 90.00
_cell_angle_gamma 90.00
loop_
_atom_site_label
_atom_site_type_symbol
_atom_site_fract_x
_atom_site_fract_y
_atom_site_fract_z
Ho1 Ho 0.000 0.000 0.189
Ho2 Ho 0.061 0.250 0.250
Ho3 Ho 0.098 0.098 0.598
Co1 Co 0.109 0.109 0.391
Hg1 Hg 0.166 0.166 0.834
```

Calculated values
The value obtained for the spin magnetization is 0.00 μB/f.u. For the energy of formation from the pure elements, the calculation gives -1.85 eV per formula unit.

***

Record 2
# Ho2Co2Hg

Crystalline Ho2Co2Hg at its relaxed geometry (GGA-PBE, the Alexandria database).

Geometry as CIF:
```
data_Ho2Co2Hg
_symmetry_space_group_name_H-M 'C m m m'
_symmetry_Int_Tables_number 65
_symmetry_space_group_name_Hall '-C 2 2'
_cell_length_a 3.826
_cell_length_b 13.576
_cell_length_c 3.887
_cell_angle_alpha 90.00
_cell_angle_beta 90.00
_cell_angle_gamma 90.00
loop_
_atom_site_label
_atom_site_type_symbol
_atom_site_fract_x
_atom_site_fract_y
_atom_site_fract_z
Ho1 Ho 0.000 0.137 0.000
Co1 Co 0.000 0.293 0.500
Hg1 Hg 0.000 0.500 0.500
```

Calculated values
The value obtained for the spin magnetization is 1.52 μB/f.u. For the energy of formation from the pure elements, the calculation gives -1.69 eV per formula unit.

***

Record 3
# HoCoHg

Crystalline HoCoHg at its relaxed geometry (GGA-PBE, the Alexandria database).

Geometry as CIF:
```
data_HoCoHg
_symmetry_space_group_name_H-M 'C 1 2/m 1'
_symmetry_Int_Tables_number 12
_cell_length_a 12.778
_cell_length_b 3.851
_cell_length_c 5.045
_cell_angle_alpha 90.00
_cell_angle_beta 102.01
_cell_angle_gamma 90.00
loop_
_symmetry_equiv_pos_as_xyz
'x,y,z'
'-x,-y,-z'
'-x,y,-z'
'x,-y,z'
'x+1/2,y+1/2,z'
'-x+1/2,-y+1/2,-z'
'-x+1/2,y+1/2,-z'
'x+1/2,-y+1/2,z'
loop_
_atom_site_label
_atom_site_type_symbol
_atom_site_fract_x
_atom_site_fract_y
_atom_site_fract_z
Ho1 Ho 0.136 0.000 0.325
Co1 Co 0.232 0.000 0.880
Hg1 Hg 0.074 0.500 0.781
```

Calculated values
The value obtained for the spin magnetization is 0.00 μB/f.u. For the energy of formation from the pure elements, the calculation gives -0.72 eV per formula unit.

***

Record 4
# Ho4Co2Hg

Crystalline Ho4Co2Hg at its relaxed geometry (GGA-PBE, the Alexandria database).

Geometry as CIF:
```
data_Ho4Co2Hg
_symmetry_space_group_name_H-M 'P 1'
_symmetry_Int_Tables_number 1
_cell_length_a 6.902
_cell_length_b 7.057
_cell_length_c 7.148
_cell_angle_alpha 100.49
_cell_angle_beta 101.40
_cell_angle_gamma 94.61
loop_
_symmetry_equiv_pos_as_xyz
'x,y,z'
loop_
_atom_site_label
_atom_site_type_symbol
_atom_site_fract_x
_atom_site_fract_y
_atom_site_fract_z
Ho1 Ho 0.000 0.000 0.000
Ho2 Ho 0.023 0.400 0.384
Ho3 Ho 0.400 0.399 0.038
Ho4 Ho 0.486 0.094 0.640
Ho5 Ho 0.534 0.903 0.102
Ho6 Ho 0.560 0.585 0.516
Ho7 Ho 0.887 0.473 0.889
Ho8 Ho 0.928 0.972 0.486
Co1 Co 0.294 0.157 0.301
Co2 Co 0.642 0.251 0.352
Co3 Co 0.718 0.224 0.035
Co4 Co 0.761 0.626 0.224
Hg1 Hg 0.198 0.752 0.269
Hg2 Hg 0.212 0.726 0.735
```

Calculated values
The value obtained for the spin magnetization is 0.00 μB/f.u. For the energy of formation from the pure elements, the calculation gives -1.34 eV per formula unit.

***

Record 5
# Ho8CoHg2

Crystalline Ho8CoHg2 at its relaxed geometry (GGA-PBE, the Alexandria database).

Geometry as CIF:
```
data_Ho8CoHg2
_symmetry_space_group_name_H-M 'C 1 2/m 1'
_symmetry_Int_Tables_number 12
_cell_length_a 17.396
_cell_length_b 5.250
_cell_length_c 6.761
_cell_angle_alpha 90.00
_cell_angle_beta 108.02
_cell_angle_gamma 90.00
loop_
_symmetry_equiv_pos_as_xyz
'x,y,z'
'-x,-y,-z'
'-x,y,-z'
'x,-y,z'
'x+1/2,y+1/2,z'
'-x+1/2,-y+1/2,-z'
'-x+1/2,y+1/2,-z'
'x+1/2,-y+1/2,z'
loop_
_atom_site_label
_atom_site_type_symbol
_atom_site_fract_x
_atom_site_fract_y
_atom_site_fract_z
Ho1 Ho 0.023 0.000 0.286
Ho2 Ho 0.088 0.500 0.922
Ho3 Ho 0.149 0.500 0.455
Ho4 Ho 0.200 0.000 0.798
Co1 Co 0.000 0.500 0.500
Hg1 Hg 0.186 0.000 0.221
```

Calculated values
The value obtained for the spin magnetization is 0.00 μB/f.u. For the energy of formation from the pure elements, the calculation gives -2.22 eV per formula unit.

***

Record 6
# Ho5CoHg

Crystalline Ho5CoHg at its relaxed geometry (GGA-PBE, the Alexandria database).

Geometry as CIF:
```
data_Ho5CoHg
_symmetry_space_group_name_H-M 'C 1 2/c 1'
_symmetry_Int_Tables_number 15
_cell_length_a 9.429
_cell_length_b 7.150
_cell_length_c 11.581
_cell_angle_alpha 90.00
_cell_angle_beta 107.10
_cell_angle_gamma 90.00
loop_
_symmetry_equiv_pos_as_xyz
'x,y,z'
'-x,-y,-z'
'-x,y,-z+1/2'
'x,-y,z+1/2'
'x+1/2,y+1/2,z'
'-x+1/2,-y+1/2,-z'
'-x+1/2,y+1/2,-z+1/2'
'x+1/2,-y+1/2,z+1/2'
loop_
_atom_site_label
_atom_site_type_symbol
_atom_site_fract_x
_atom_site_fract_y
_atom_site_fract_z
Ho1 Ho 0.000 0.004 0.250
Ho2 Ho 0.117 0.325 0.563
Ho3 Ho 0.242 0.165 0.126
Co1 Co 0.000 0.000 0.000
Hg1 Hg 0.000 0.421 0.250
```

Calculated values
The value obtained for the spin magnetization is 0.00 μB/f.u. For the energy of formation from the pure elements, the calculation gives -0.73 eV per formula unit.

***

Record 7
# HoMgCoHg

Crystalline HoMgCoHg at its relaxed geometry (GGA-PBE, the Alexandria database).

Geometry as CIF:
```
data_HoMgCoHg
_symmetry_space_group_name_H-M 'F -4 3 m'
_symmetry_Int_Tables_number 216
_symmetry_space_group_name_Hall 'F -4 2 3'
_cell_length_a 6.843
_cell_length_b 6.843
_cell_length_c 6.843
_cell_angle_alpha 90.00
_cell_angle_beta 90.00
_cell_angle_gamma 90.00
loop_
_atom_site_label
_atom_site_type_symbol
_atom_site_fract_x
_atom_site_fract_y
_atom_site_fract_z
Ho1 Ho 0.000 0.000 0.000
Mg1 Mg 0.000 0.000 0.500
Co1 Co 0.250 0.250 0.250
Hg1 Hg 0.250 0.250 0.750
```

Calculated values
The value obtained for the spin magnetization is 1.18 μB/f.u. For the energy of formation from the pure elements, the calculation gives -0.41 eV per formula unit.

***

Record 8
# PrHoCoHg

Crystalline PrHoCoHg at its relaxed geometry (GGA-PBE, the Alexandria database).

Geometry as CIF:
```
data_PrHoCoHg
_symmetry_space_group_name_H-M 'F -4 3 m'
_symmetry_Int_Tables_number 216
_symmetry_space_group_name_Hall 'F -4 2 3'
_cell_length_a 7.252
_cell_length_b 7.252
_cell_length_c 7.252
_cell_angle_alpha 90.00
_cell_angle_beta 90.00
_cell_angle_gamma 90.00
loop_
_atom_site_label
_atom_site_type_symbol
_atom_site_fract_x
_atom_site_fract_y
_atom_site_fract_z
Pr1 Pr 0.000 0.000 0.000
Ho1 Ho 0.000 0.000 0.500
Co1 Co 0.250 0.250 0.250
Hg1 Hg 0.250 0.250 0.750
```

Calculated values
The value obtained for the spin magnetization is 0.43 μB/f.u. For the energy of formation from the pure elements, the calculation gives -0.62 eV per formula unit.

***

Record 9
# TbHoCoHg

Crystalline TbHoCoHg at its relaxed geometry (GGA-PBE, the Alexandria database).

Geometry as CIF:
```
data_TbHoCoHg
_symmetry_space_group_name_H-M 'F -4 3 m'
_symmetry_Int_Tables_number 216
_symmetry_space_group_name_Hall 'F -4 2 3'
_cell_length_a 7.109
_cell_length_b 7.109
_cell_length_c 7.109
_cell_angle_alpha 90.00
_cell_angle_beta 90.00
_cell_angle_gamma 90.00
loop_
_atom_site_label
_atom_site_type_symbol
_atom_site_fract_x
_atom_site_fract_y
_atom_site_fract_z
Tb1 Tb 0.000 0.000 0.000
Ho1 Ho 0.000 0.000 0.500
Co1 Co 0.250 0.250 0.250
Hg1 Hg 0.250 0.250 0.750
```

Calculated values
The value obtained for the spin magnetization is 0.59 μB/f.u. For the energy of formation from the pure elements, the calculation gives -0.91 eV per formula unit.

***

Record 10
# Ho2ZnCoHg

Crystalline Ho2ZnCoHg at its relaxed geometry (GGA-PBE, the Alexandria database).

Geometry as CIF:
```
data_Ho2ZnCoHg
_symmetry_space_group_name_H-M 'P 1 21/m 1'
_symmetry_Int_Tables_number 11
_cell_length_a 7.838
_cell_length_b 3.804
_cell_length_c 8.011
_cell_angle_alpha 90.00
_cell_angle_beta 115.59
_cell_angle_gamma 90.00
loop_
_symmetry_equiv_pos_as_xyz
'x,y,z'
'-x,-y,-z'
'-x,y+1/2,-z'
'x,-y+1/2,z'
loop_
_atom_site_label
_atom_site_type_symbol
_atom_site_fract_x
_atom_site_fract_y
_atom_site_fract_z
Ho1 Ho 0.001 0.250 0.208
Ho2 Ho 0.341 0.750 0.608
Zn1 Zn 0.352 0.250 0.919
Co1 Co 0.080 0.250 0.587
Hg1 Hg 0.315 0.750 0.194
```

Calculated values
The value obtained for the spin magnetization is 0.00 μB/f.u. For the energy of formation from the pure elements, the calculation gives -1.81 eV per formula unit.

***

Record 11
# CoHg2I6

Crystalline CoHg2I6 at its relaxed geometry (GGA-PBE, the Alexandria database).

Geometry as CIF:
```
data_CoHg2I6
_symmetry_space_group_name_H-M 'C 1 2/c 1'
_symmetry_Int_Tables_number 15
_cell_length_a 16.350
_cell_length_b 15.695
_cell_length_c 7.503
_cell_angle_alpha 90.00
_cell_angle_beta 117.15
_cell_angle_gamma 90.00
loop_
_symmetry_equiv_pos_as_xyz
'x,y,z'
'-x,-y,-z'
'-x,y,-z+1/2'
'x,-y,z+1/2'
'x+1/2,y+1/2,z'
'-x+1/2,-y+1/2,-z'
'-x+1/2,y+1/2,-z+1/2'
'x+1/2,-y+1/2,z+1/2'
loop_
_atom_site_label
_atom_site_type_symbol
_atom_site_fract_x
_atom_site_fract_y
_atom_site_fract_z
Co1 Co 0.000 0.245 0.250
Hg1 Hg 0.246 0.419 0.441
I1 I 0.093 0.334 0.121
I2 I 0.094 0.154 0.563
I3 I 0.242 0.406 0.813
```

Calculated values
The value obtained for the spin magnetization is 3.00 μB/f.u. The uncorrected formation energy is -198 meV/atom.

***

- Which value of spin magnetization does entry 7 give?
  1.18 μB/f.u.